Here is ScRuRh after structural relaxation from Alexandria via LeMat-Bulk. Energies are from PBEsol.

Its calculated formation energy is 41.8 kJ/mol of formula units. Its size of the total moment is 0.00 Bohr magnetons per cell. The total energy is -8.161 eV per atom.

It has space group F-43m (No. 216), with a = 5.965 Å, b = 5.965 Å, c = 5.965 Å, α = 90.00°, β = 90.00° and γ = 90.00°. Symmetry generates all atoms from Sc at (0.000, 0.000, 0.000), Ru at (0.250, 0.250, 0.750) and Rh at (0.000, 0.000, 0.500).

---

Here is MgBe2Zn after structural relaxation from Alexandria via LeMat-Bulk. Energies are from PBEsol.

Its calculated formation energy is 163.9 kJ/mol of formula units. Its size of the total moment is 0.00 Bohr magnetons per cell. The total energy is -2.400 eV per atom.

It has space group R-3m (No. 166, hexagonal axes), with a = 2.7242 Å, b = 2.7242 Å, c = 24.5300 Å, α = 90.00°, β = 90.00° and γ = 120.00°. Symmetry generates all atoms from Mg at (0.0000, 0.0000, 0.0000), Be at (0.0000, 0.0000, 0.2435) and Zn at (0.0000, 0.0000, 0.5000).

---

Here is Ba2Y2Mn4O11 after structural relaxation from Alexandria via LeMat-Bulk. Energies are from PBEsol.

Its size of the total moment is 31.98 Bohr magnetons per cell. The uncorrected formation energy is -2.427 eV per atom. The total energy is -8.465 eV per atom.

It has space group Cmmm (No. 65), with a = 7.919 Å, b = 15.146 Å, c = 3.812 Å, α = 90.00°, β = 90.00° and γ = 90.00°. Symmetry generates all atoms from Ba at (0.250, 0.250, 0.000), Y at (0.227, 0.000, 0.000), Mn at (0.000, 0.124, 0.500), Mn at (0.000, 0.385, 0.500), O at (0.000, 0.000, 0.500), O at (0.000, 0.112, 0.000), O at (0.000, 0.249, 0.500), O at (0.000, 0.410, 0.000) and O at (0.239, 0.399, 0.500).

---

Here is Mg2CdTc after structural relaxation from Alexandria via LeMat-Bulk. Energies are from PBEsol.

Its calculated formation energy is 96.2 kJ/mol of formula units. Its size of the total moment is 0.00 Bohr magnetons per cell. The total energy is -3.725 eV per atom.

It has space group Pmm2 (No. 25), with a = 2.811 Å, b = 4.359 Å, c = 5.739 Å, α = 90.00°, β = 90.00° and γ = 90.00°. Symmetry generates all atoms from Mg at (0.000, 0.000, 0.000), Mg at (0.500, 0.500, 0.278), Cd at (0.500, 0.500, 0.746) and Tc at (0.000, 0.000, 0.492).

---

Which formula does entry 2 have? MgBe2Zn

---

Among the records above, which one has the highest size of the total moment? Ba2Y2Mn4O11

---

Which of these has the highest size of the total moment? Ba2Y2Mn4O11

---

Please write out number 1 again, unchanged.
Here is ScRuRh after structural relaxation from Alexandria via LeMat-Bulk. Energies are from PBEsol.

Its calculated formation energy is 41.8 kJ/mol of formula units. Its size of the total moment is 0.00 Bohr magnetons per cell. The total energy is -8.161 eV per atom.

It has space group F-43m (No. 216), with a = 5.965 Å, b = 5.965 Å, c = 5.965 Å, α = 90.00°, β = 90.00° and γ = 90.00°. Symmetry generates all atoms from Sc at (0.000, 0.000, 0.000), Ru at (0.250, 0.250, 0.750) and Rh at (0.000, 0.000, 0.500).